No. 1
Compound: Ce5ErBi6
Source: Alexandria via LeMat-Bulk
Functional: GGA-PBE
Structure: optimized geometry

Output
Its final energy is -66.99 eV per cell. The calculation puts the formation enthalpy at 0 K at -0.79 eV per atom.

Cell: 7.933 7.933 7.919 Å, 99.62 99.62 120.00°
Fractional positions:
1 Ce 0.000 0.000 0.000
2 Ce 0.166 0.834 0.500
3 Ce 0.331 0.669 0.000
4 Ce 0.669 0.331 0.000
5 Ce 0.834 0.166 0.500
6 Er 0.500 0.500 0.500
7 Bi 0.090 0.418 0.254
8 Bi 0.255 0.255 0.749
9 Bi 0.418 0.090 0.254
10 Bi 0.582 0.910 0.746
11 Bi 0.745 0.745 0.251
12 Bi 0.910 0.582 0.746



No. 2
Compound: Ce2ErBi3
Source: Alexandria via LeMat-Bulk
Functional: GGA-PBE
Structure: optimized geometry

Output
The calculation puts the energy relative to the lowest polymorph listed for this composition at 0.01 eV/f.u. Its final energy is -32.83 eV per cell. The calculation puts the formation enthalpy at 0 K at -0.79 eV per atom.

Cell: 7.879 7.879 7.879 Å, 146.41 131.70 60.11°
Fractional positions:
1 Ce 0.168 0.168 0.000
2 Ce 0.832 0.832 0.000
3 Er 0.500 0.500 0.000
4 Bi 0.000 0.500 0.500
5 Bi 0.338 0.838 0.500
6 Bi 0.662 0.162 0.500